Run A
OsRh2W: relaxed, PBEsol.

Summary:
Total moment: 0.0 μB per formula unit

abc: 4.3297 4.3297 4.3297
angles: 60.00 60.00 60.00
Closest atoms and distances in Å follow each position.
Fractional positions:
Rh: 0.7500 0.7500 0.7500  4 Os 2.65, 4 Rh 2.65
Rh: 0.0000 0.0000 0.0000  4 W 2.65, 4 Rh 2.65
Os: 0.5000 0.5000 0.5000  4 Rh 2.65, 4 W 2.65
W: 0.2500 0.2500 0.2500  4 Os 2.65, 4 Rh 2.65


Run B
OsRh2W: relaxed, PBEsol.

Summary:
Total moment: 0.0 μB per formula unit

abc: 3.7927 3.7927 3.8963
angles: 90.00 90.00 90.00
Closest atoms and distances in Å follow each position.
Fractional positions:
Os: 0.0000 0.0000 0.5000  4 W 2.68, 8 Rh 2.72
W: 0.5000 0.5000 0.5000  4 Os 2.68, 8 Rh 2.72
Rh: 0.0000 0.5000 0.0000  4 Rh 2.68, 4 W 2.72, 4 Os 2.72
Rh: 0.5000 0.0000 0.0000  4 Rh 2.68, 4 W 2.72, 4 Os 2.72


List of relative energies, unit kJ/mol of atoms: run A 38.9; run B 0.0


Run A
Os2RhW: relaxed, PBEsol.

Summary:
Total moment: 0.0 μB per formula unit

abc: 3.2551 3.2551 5.4922
angles: 90.00 90.00 90.00
Closest atoms and distances in Å follow each position.
Fractional positions:
Os: 0.0000 0.0000 0.0049  4 Os 2.68, 2 Rh 2.71-2.78, 4 W 2.72
Os: 0.5000 0.5000 0.2553  4 Rh 2.66, 2 W 2.67-2.82, 4 Os 2.68
W: 0.5000 0.5000 0.7417  4 Rh 2.66, 6 Os 2.67-2.82
Rh: 0.0000 0.0000 0.4981  6 Os 2.66-2.78, 4 W 2.66


Run B
Os2RhW: relaxed, PBEsol.

Summary:
Total moment: 0.0 μB per formula unit

abc: 3.8482 3.8482 4.7035
angles: 114.15 114.15 90.00
Closest atoms and distances in Å follow each position.
Fractional positions:
Os: 0.0000 0.0000 0.0000  4 W 2.72, 4 Os 2.72, 4 Rh 2.72
Os: 0.2500 0.7500 0.5000  4 Rh 2.72, 4 Os 2.72, 4 W 2.72
Rh: 0.5000 0.5000 0.0000  4 W 2.72, 8 Os 2.72
W: 0.7500 0.2500 0.5000  8 Os 2.72, 4 Rh 2.72


Run C
Os2RhW: relaxed, PBEsol.

Summary:
Total moment: 0.0 μB per formula unit

abc: 3.8338 3.8452 3.8452
angles: 90.00 90.00 90.00
Closest atoms and distances in Å follow each position.
Fractional positions:
Os: 0.0000 0.0000 0.5000  4 W 2.71, 4 Rh 2.71, 4 Os 2.72
Os: 0.0000 0.5000 0.0000  4 W 2.71, 4 Rh 2.71, 4 Os 2.72
Rh: 0.5000 0.5000 0.5000  8 Os 2.71, 4 W 2.72
W: 0.5000 0.0000 0.0000  8 Os 2.71, 4 Rh 2.72


List of relative energies, unit kJ/mol of atoms: run A 46.4; run B 4.3; run C 0.0


Run A
YOs2Rh: relaxed, PBEsol.

Summary:
Total moment: 0.0 μB per formula unit

abc: 2.9392 4.5470 4.7967
angles: 90.00 90.00 90.00
Closest atoms and distances in Å follow each position.
Fractional positions:
Y: 0.0000 0.5000 0.5000  4 Rh 2.71, 4 Os 2.81, 2 Y 2.94
Os: 0.5000 0.5000 0.0000  6 Os 2.71-2.94, 4 Y 2.81
Os: 0.0000 0.0000 0.0000  6 Os 2.71-2.94, 4 Rh 2.81
Rh: 0.5000 0.0000 0.5000  4 Y 2.71, 4 Os 2.81, 2 Rh 2.94


Run B
YOs2Rh: relaxed, PBEsol.

Summary:
Total moment: 0.0 μB per formula unit

abc: 2.8074 2.8074 8.1499
angles: 90.00 90.00 90.00
Closest atoms and distances in Å follow each position.
Fractional positions:
Os: 0.0000 0.0000 0.7824  4 Rh 2.66, 4 Os 2.81
Os: 0.0000 0.0000 0.2176  4 Rh 2.66, 4 Os 2.81
Rh: 0.5000 0.5000 0.0000  8 Os 2.66, 4 Rh 2.81
Y: 0.5000 0.5000 0.5000  4 Y 2.81, 8 Os 3.04


List of relative energies, unit kJ/mol of atoms: run A 0.0; run B 8.0


Run A
YOsRh: relaxed, PBEsol.

Summary:
Total moment: 0.0 μB per formula unit

abc: 3.1093 4.4437 4.4437
angles: 120.00 90.00 90.00
Closest atoms and distances in Å follow each position.
Fractional positions:
Os: 0.0000 0.0000 0.0000  3 Rh 2.57
Y: 0.5000 0.6667 0.3333  6 Os 3.00, 6 Rh 3.00, 2 Y 3.11
Rh: 0.0000 0.3333 0.6667  3 Os 2.57


Run B
YOsRh: relaxed, PBEsol.

Summary:
Total moment: 0.0 μB per formula unit

abc: 2.8746 2.8746 7.0565
angles: 90.00 90.00 120.00
Closest atoms and distances in Å follow each position.
Fractional positions:
Rh: 0.3333 0.6667 0.6854  3 Os 2.64, 6 Rh 2.87
Y: 0.6667 0.3333 0.3377  6 Y 2.87, 3 Rh 2.96, 3 Os 3.04
Os: 0.0000 0.0000 0.9769  3 Rh 2.64, 6 Os 2.87


List of relative energies, unit kJ/mol of atoms: run A 0.0; run B 44.1


Run A
ZrOsRh2: relaxed, PBEsol.

Summary:
Total moment: 0.0 μB per formula unit

abc: 2.8654 4.7250 4.8030
angles: 100.50 107.35 90.00
Closest atoms and distances in Å follow each position.
Fractional positions:
Os: 0.0000 0.5000 0.0000  6 Rh 2.70-2.78, 4 Zr 2.76, 2 Os 2.87
Zr: 0.5000 0.0000 0.0000  4 Os 2.76, 6 Rh 2.77-2.84, 2 Zr 2.87
Rh: 0.2564 0.2683 0.5128  6 Rh 2.64-2.90, 3 Os 2.70-2.78, 3 Zr 2.77-2.84
Rh: 0.7436 0.7317 0.4872  6 Rh 2.64-2.90, 3 Os 2.70-2.78, 3 Zr 2.77-2.84


Run B
ZrOsRh2: relaxed, PBEsol.

Summary:
Total moment: 0.0 μB per formula unit

abc: 3.9300 3.9300 4.8000
angles: 114.17 114.17 90.00
Closest atoms and distances in Å follow each position.
Fractional positions:
Rh: 0.7500 0.2500 0.5000  4 Zr 2.77, 4 Rh 2.77, 4 Os 2.78
Rh: 0.0000 0.0000 0.0000  4 Os 2.77, 4 Rh 2.77, 4 Zr 2.78
Zr: 0.5000 0.5000 0.0000  4 Os 2.77, 8 Rh 2.77-2.78
Os: 0.2500 0.7500 0.5000  4 Zr 2.77, 8 Rh 2.77-2.78


List of relative energies, unit kJ/mol of atoms: run A 6.6; run B 0.0


Run A
TaOsRu2: relaxed, PBEsol.

Summary:
Total moment: 0.0 μB per formula unit

abc: 3.8708 3.8708 4.7354
angles: 114.12 114.12 90.00
Closest atoms and distances in Å follow each position.
Fractional positions:
Os: 0.5000 0.5000 0.0000  8 Ru 2.73, 4 Ta 2.74
Ta: 0.0000 0.0000 0.0000  8 Ru 2.73, 4 Os 2.74
Ru: 0.2500 0.7500 0.5000  4 Os 2.73, 4 Ta 2.73, 4 Ru 2.74
Ru: 0.7500 0.2500 0.5000  4 Os 2.73, 4 Ta 2.73, 4 Ru 2.74


Run B
TaOsRu2: relaxed, PBEsol.

Summary:
Total moment: 0.0 μB per formula unit

abc: 2.7452 2.7452 7.7224
angles: 90.00 90.00 90.00
Closest atoms and distances in Å follow each position.
Fractional positions:
Ru: 0.0000 0.0000 0.0000  4 Os 2.64, 8 Ru 2.66-2.75
Ru: 0.5000 0.5000 0.2350  8 Ru 2.66-2.75, 4 Ta 2.81
Os: 0.5000 0.5000 0.7675  4 Ru 2.64, 4 Os 2.75, 4 Ta 2.85
Ta: 0.0000 0.0000 0.4976  4 Ta 2.75, 4 Ru 2.81, 4 Os 2.85


List of relative energies, unit kJ/mol of atoms: run A 0.0; run B 12.6


Run A
TcOsRu2: relaxed, PBEsol.

Summary:
Total moment: 0.0 μB per formula unit

abc: 2.7092 4.2838 4.6942
angles: 90.00 90.00 90.00
Closest atoms and distances in Å follow each position.
Fractional positions:
Os: 0.5000 0.5000 0.2086  2 Tc 2.65, 8 Ru 2.65-2.72, 2 Os 2.71
Tc: 0.5000 0.0000 0.5406  2 Os 2.65, 8 Ru 2.65-2.72, 2 Tc 2.71
Ru: 0.0000 0.5000 0.7070  4 Tc 2.65, 4 Ru 2.66-2.71, 4 Os 2.70-2.72
Ru: 0.0000 0.0000 0.0439  4 Os 2.65, 4 Ru 2.66-2.71, 4 Tc 2.70-2.72


Run B
TcOsRu2: relaxed, PBEsol.

Summary:
Total moment: 1.1 μB per formula unit

abc: 3.1884 3.1884 5.5121
angles: 90.00 90.00 90.00
Closest atoms and distances in Å follow each position.
Fractional positions:
Ru: 0.5000 0.5000 0.2396  4 Ru 2.57, 4 Tc 2.65, 2 Os 2.67-2.84
Ru: 0.0000 0.0000 0.0146  4 Ru 2.57, 1 Tc 2.63, 4 Os 2.67
Os: 0.5000 0.5000 0.7549  6 Ru 2.67-2.84, 4 Tc 2.68
Tc: 0.0000 0.0000 0.4909  6 Ru 2.63-2.89, 4 Os 2.68


List of relative energies, unit kJ/mol of atoms: run A 0.0; run B 56.6


Run A
TcOs2Ru: relaxed, PBEsol.

Summary:
Total moment: 0.0 μB per formula unit

abc: 2.7204 4.2982 4.7123
angles: 90.00 90.00 90.00
Closest atoms and distances in Å follow each position.
Fractional positions:
Os: 0.0000 0.5000 0.7921  6 Os 2.66-2.72, 2 Ru 2.67, 4 Tc 2.72
Os: 0.5000 0.0000 0.9604  2 Tc 2.66, 6 Os 2.66-2.72, 4 Ru 2.70-2.74
Ru: 0.0000 0.0000 0.4548  4 Tc 2.66, 6 Os 2.67-2.74, 2 Ru 2.72
Tc: 0.5000 0.5000 0.2927  4 Ru 2.66, 6 Os 2.66-2.72, 2 Tc 2.72


Run B
TcOs2Ru: relaxed, PBEsol.

Summary:
Total moment: 0.0 μB per formula unit

abc: 2.6918 2.6918 8.9526
angles: 81.35 81.35 60.00
Closest atoms and distances in Å follow each position.
Fractional positions:
Os: 0.7505 0.7505 0.7486  3 Ru 2.69, 9 Os 2.69-2.71
Os: 0.9998 0.9998 0.0007  9 Os 2.69-2.71, 3 Tc 2.70
Ru: 0.5002 0.5002 0.4995  3 Tc 2.68, 3 Os 2.69, 6 Ru 2.69
Tc: 0.2496 0.2496 0.2512  3 Ru 2.68, 6 Tc 2.69, 3 Os 2.70


Run C
TcOs2Ru: relaxed, PBEsol.

Summary:
Total moment: 0.0 μB per formula unit

abc: 2.7138 4.4361 5.4414
angles: 114.06 104.44 90.00
Closest atoms and distances in Å follow each position.
Fractional positions:
Os: 0.7751 0.7751 0.5502  2 Ru 2.54, 6 Os 2.64-2.71
Os: 0.2249 0.2249 0.4498  2 Ru 2.54, 6 Os 2.64-2.71
Tc: 0.0000 0.5000 0.0000  4 Ru 2.60, 2 Tc 2.71
Ru: 0.5000 0.0000 0.0000  4 Os 2.54, 4 Tc 2.60, 2 Ru 2.71


List of relative energies, unit kJ/mol of atoms: run A 0.0; run B 16.9; run C 59.5


Run A
Te2OsRu: relaxed, PBEsol.

Summary:
Total moment: 0.0 μB per formula unit

abc: 3.2064 4.4239 5.5561
angles: 102.06 90.00 111.25
Closest atoms and distances in Å follow each position.
Fractional positions:
Te: 0.2494 0.4988 0.2485  3 Ru 2.73, 3 Os 2.73-2.74
Te: 0.7506 0.5012 0.7515  3 Ru 2.73, 3 Os 2.73-2.74
Os: 0.0000 0.0000 0.5000  6 Te 2.73-2.74
Ru: 0.5000 0.0000 0.0000  6 Te 2.73


Run B
Te2OsRu: relaxed, PBEsol.

Summary:
Total moment: 0.0 μB per formula unit

abc: 3.8982 3.8982 5.4275
angles: 111.05 111.05 90.00
Closest atoms and distances in Å follow each position.
Fractional positions:
Ru: 0.2500 0.7500 0.5000  8 Te 2.76-3.04, 4 Os 3.04
Te: 0.7500 0.2500 0.5000  4 Ru 2.76, 4 Te 3.04, 4 Os 3.04
Te: 0.0000 0.0000 0.0000  4 Os 2.76, 4 Ru 3.04, 4 Te 3.04
Os: 0.5000 0.5000 0.0000  8 Te 2.76-3.04, 4 Ru 3.04


List of relative energies, unit kJ/mol of atoms: run A 0.0; run B 27.8


Run A
TlOs2Ru: relaxed, PBEsol.

Summary:
Total moment: 0.0 μB per formula unit

abc: 2.8186 4.7538 4.9570
angles: 99.28 90.00 107.24
Closest atoms and distances in Å follow each position.
Fractional positions:
Os: 0.9894 0.9789 0.9540  2 Ru 2.62, 5 Os 2.64-2.82, 1 Tl 2.84
Os: 0.2474 0.4948 0.7669  5 Os 2.64-2.82, 3 Ru 2.69-2.87, 4 Tl 2.83-2.88
Ru: 0.5108 0.0216 0.5166  5 Os 2.62-2.87, 3 Tl 2.71-2.84, 2 Ru 2.82
Tl: 0.7524 0.5047 0.2625  3 Ru 2.71-2.84, 2 Tl 2.82, 7 Os 2.83-2.96


Run B
TlOs2Ru: relaxed, PBEsol.

Summary:
Total moment: 0.0 μB per formula unit

abc: 3.9207 3.9207 4.8526
angles: 113.83 113.83 90.00
Closest atoms and distances in Å follow each position.
Fractional positions:
Tl: 0.2500 0.7500 0.5000  8 Os 2.77-2.79, 4 Ru 2.79
Os: 0.0000 0.0000 0.0000  4 Ru 2.77, 4 Tl 2.79, 4 Os 2.79
Os: 0.7500 0.2500 0.5000  4 Tl 2.77, 4 Os 2.79, 4 Ru 2.79
Ru: 0.5000 0.5000 0.0000  8 Os 2.77-2.79, 4 Tl 2.79


List of relative energies, unit kJ/mol of atoms: run A 0.0; run B 11.1


Run A
OsRuW2: relaxed, PBEsol.

Summary:
Total moment: 0.0 μB per formula unit

abc: 2.7571 2.7571 9.0952
angles: 81.28 81.28 60.00
Closest atoms and distances in Å follow each position.
Fractional positions:
W: 0.7495 0.7495 0.7514  3 Ru 2.74, 6 W 2.76, 3 Os 2.76
W: 0.2505 0.2505 0.2486  3 Ru 2.74, 6 W 2.76, 3 Os 2.76
Os: 0.5000 0.5000 0.5000  6 Os 2.76, 6 W 2.76
Ru: 0.0000 0.0000 0.0000  6 W 2.74, 6 Ru 2.76


Run B
OsRuW2: relaxed, PBEsol.

Summary:
Total moment: 0.0 μB per formula unit

abc: 2.7653 3.8404 5.5317
angles: 90.00 90.00 90.00
Closest atoms and distances in Å follow each position.
Fractional positions:
W: 0.0000 0.0000 0.7492  4 Ru 2.74, 4 Os 2.74, 4 W 2.76-2.77
W: 0.0000 0.0000 0.2507  4 Ru 2.74, 4 Os 2.74, 4 W 2.76-2.77
Ru: 0.5000 0.5000 0.5000  8 W 2.74, 2 Ru 2.77, 2 Os 2.77
Os: 0.5000 0.5000 0.0000  8 W 2.74, 2 Os 2.77, 2 Ru 2.77


List of relative energies, unit kJ/mol of atoms: run A 9.3; run B 0.0


Run A
YOs2Ru: relaxed, PBEsol.

Summary:
Total moment: 0.0 μB per formula unit

abc: 2.9866 4.5434 4.6971
angles: 90.00 90.00 90.00
Closest atoms and distances in Å follow each position.
Fractional positions:
Os: 0.5000 0.5000 0.0000  6 Os 2.72-2.99, 4 Y 2.78
Os: 0.0000 0.0000 0.0000  6 Os 2.72-2.99, 4 Ru 2.78
Ru: 0.5000 0.0000 0.5000  4 Y 2.72, 4 Os 2.78, 2 Ru 2.99
Y: 0.0000 0.5000 0.5000  4 Ru 2.72, 4 Os 2.78, 2 Y 2.99


Run B
YOs2Ru: relaxed, PBEsol.

Summary:
Total moment: 0.0 μB per formula unit

abc: 3.9352 3.9352 4.1346
angles: 90.00 90.00 90.00
Closest atoms and distances in Å follow each position.
Fractional positions:
Y: 0.0000 0.0000 0.5000  4 Ru 2.78, 8 Os 2.85
Ru: 0.5000 0.5000 0.5000  4 Y 2.78, 8 Os 2.85
Os: 0.5000 0.0000 0.0000  4 Os 2.78, 4 Ru 2.85, 4 Y 2.85
Os: 0.0000 0.5000 0.0000  4 Os 2.78, 4 Y 2.85, 4 Ru 2.85


List of relative energies, unit kJ/mol of atoms: run A 0.0; run B 0.9